# Tc2PRu

A relaxed Tc2PRu crystal (GGA-PBE, Alexandria via LeMat-Bulk).

## Properties
- total energy (eV per atom) = -8.571
- formation energy from the elements (eV per atom) = 0.283

Geometry as CIF:
```
data_Tc2PRu
_cell_length_a 2.910
_cell_length_b 4.722
_cell_length_c 8.254
_cell_angle_alpha 90.00
_cell_angle_beta 90.00
_cell_angle_gamma 90.00
_symmetry_space_group_name_H-M 'C m m m'
_symmetry_Int_Tables_number 65
_symmetry_space_group_name_Hall '-C 2 2'
loop_
_atom_site_label
_atom_site_type_symbol
_atom_site_fract_x
_atom_site_fract_y
_atom_site_fract_z
_atom_site_occupancy
Tc1 Tc 0.000 0.000 0.225 1
P1 P 0.000 0.500 0.000 1
Ru1 Ru 0.000 0.500 0.500 1
```